Record 1
Material: ThSi3Os3
Method: DFT, PBE
State: relaxed

Energy relative to the elements, uncorrected ... 74 meV per atom
Polymorph energy (0 for the lowest one) ... 0.248 eV per atom

```
ThSi3Os3
1.0
6.5235 0.0000 0.0000
0.0000 6.5235 0.0000
0.0000 0.0000 6.5235
Th Si Os
2 6 6
Direct
0.0000 0.0000 0.0000
0.5000 0.5000 0.5000
0.0000 0.2500 0.5000
0.0000 0.7500 0.5000
0.2500 0.5000 0.0000
0.5000 0.0000 0.2500
0.5000 0.0000 0.7500
0.7500 0.5000 0.0000
0.0000 0.5000 0.2500
0.0000 0.5000 0.7500
0.2500 0.0000 0.5000
0.5000 0.2500 0.0000
0.5000 0.7500 0.0000
0.7500 0.0000 0.5000
```


Record 2
Material: Th2Si3Os
Method: DFT, PBE
State: relaxed

Energy relative to the elements, uncorrected ... -713 meV per atom
Polymorph energy (0 for the lowest one) ... 0.052 eV per atom

```
Th2Si3Os
1.0
-2.0374 2.1170 7.2009
2.0374 -2.1170 7.2009
2.0374 2.1170 -7.2009
Th Si Os
2 3 1
Direct
0.0000 0.0000 0.0000
0.7462 0.2462 0.5000
0.3277 0.8277 0.5000
0.4152 0.4152 0.0000
0.5804 0.5804 0.0000
0.1628 0.6628 0.5000
```


Record 3
Material: Th2Si3Os
Method: DFT, PBE
State: relaxed

Energy relative to the elements, uncorrected ... -764 meV per atom
Polymorph energy (0 for the lowest one) ... 0.000 eV per atom

```
Th2Si3Os
1.0
0.0000 4.1928 7.1265
4.1567 0.0000 7.1265
4.1567 4.1928 0.0000
Th Si Os
4 6 2
Direct
0.2432 0.7568 0.2432
0.2500 0.2500 0.2500
0.7500 0.7500 0.7500
0.7568 0.2432 0.7568
0.1699 0.6628 0.8301
0.3328 0.3328 0.6672
0.3372 0.8301 0.6628
0.6628 0.1699 0.3372
0.6672 0.6672 0.3328
0.8301 0.3372 0.1699
0.1658 0.1658 0.8342
0.8342 0.8342 0.1658
```


Record 4
Material: ThVSi2Os
Method: DFT, PBE
State: relaxed

Energy relative to the elements, uncorrected ... -658 meV per atom

```
ThVSi2Os
1.0
-2.0637 2.0637 5.1800
2.0637 -2.0637 5.1800
2.0637 2.0637 -5.1800
Th V Si Os
1 1 2 1
Direct
0.0000 0.0000 0.0000
0.7500 0.2500 0.5000
0.3786 0.3786 0.0000
0.6214 0.6214 0.0000
0.2500 0.7500 0.5000
```


Record 5
Material: ThSi2OsW
Method: DFT, PBE
State: relaxed

Energy relative to the elements, uncorrected ... -470 meV per atom

```
ThSi2OsW
1.0
-2.0824 2.0824 5.1989
2.0824 -2.0824 5.1989
2.0824 2.0824 -5.1989
Th Si Os W
1 2 1 1
Direct
0.0000 0.0000 0.0000
0.3799 0.3799 0.0000
0.6201 0.6201 0.0000
0.2500 0.7500 0.5000
0.7500 0.2500 0.5000
```


Record 6
Material: TiSiOs3
Method: DFT, PBE
State: relaxed

Energy relative to the elements, uncorrected ... 666 meV per atom
Polymorph energy (0 for the lowest one) ... 0.000 eV per atom

```
TiSiOs3
1.0
4.3512 0.0000 0.0000
0.0000 4.3512 0.0000
0.0000 0.0000 4.3512
Ti Si Os
1 1 3
Direct
0.0000 0.0000 0.0000
0.5000 0.5000 0.5000
0.0000 0.5000 0.5000
0.5000 0.0000 0.5000
0.5000 0.5000 0.0000
```


Record 7
Material: TiSi3Os
Method: DFT, PBE
State: relaxed

Energy relative to the elements, uncorrected ... 1479 meV per atom
Polymorph energy (0 for the lowest one) ... 0.722 eV per atom

```
TiSi3Os
1.0
4.5698 0.0000 0.0000
0.0000 4.5698 0.0000
0.0000 0.0000 4.5698
Ti Si Os
1 3 1
Direct
0.0000 0.0000 0.0000
0.0000 0.0000 0.5000
0.0000 0.5000 0.0000
0.5000 0.0000 0.0000
0.5000 0.5000 0.5000
```


Record 8
Material: TiSiOs2
Method: DFT, PBE
State: relaxed

Energy relative to the elements, uncorrected ... 246 meV per atom

```
TiSiOs2
1.0
-3.4948 3.4948 2.6036
3.4948 -3.4948 2.6036
3.4948 3.4948 -2.6036
Ti Si Os
2 2 4
Direct
0.0000 0.0000 0.0000
0.7500 0.2500 0.5000
0.2500 0.7500 0.5000
0.5000 0.5000 0.0000
0.1876 0.6250 0.0626
0.3750 0.4376 0.5626
0.5624 0.1250 0.9374
0.8750 0.8124 0.4374
```


Record 9
Material: TiSi3Os
Method: DFT, PBE
State: relaxed

Energy relative to the elements, uncorrected ... 757 meV per atom
Polymorph energy (0 for the lowest one) ... 0.000 eV per atom

```
TiSi3Os
1.0
4.6274 0.0000 0.0000
0.0000 4.6274 0.0000
0.0000 0.0000 4.6274
Ti Si Os
1 3 1
Direct
0.0000 0.0000 0.0000
0.0000 0.5000 0.5000
0.5000 0.0000 0.5000
0.5000 0.5000 0.0000
0.5000 0.5000 0.5000
```


Record 10
Material: TiSiOs3
Method: DFT, PBE
State: relaxed

Energy relative to the elements, uncorrected ... 1988 meV per atom
Polymorph energy (0 for the lowest one) ... 1.322 eV per atom

```
TiSiOs3
1.0
4.5375 0.0000 0.0000
0.0000 4.5375 0.0000
0.0000 0.0000 4.5375
Ti Si Os
1 1 3
Direct
0.0000 0.0000 0.0000
0.5000 0.5000 0.5000
0.0000 0.0000 0.5000
0.0000 0.5000 0.0000
0.5000 0.0000 0.0000
```


Record 11
Material: TiSiOs2
Method: DFT, PBE
State: relaxed

Energy relative to the elements, uncorrected ... -584 meV per atom

```
TiSiOs2
1.0
4.2435 0.0000 0.0000
0.0000 4.2435 0.0000
0.0000 0.0000 3.0560
Ti Si Os
1 1 2
Direct
0.0000 0.0000 0.0000
0.5000 0.5000 0.0000
0.0000 0.5000 0.5000
0.5000 0.0000 0.5000
```


Record 12
Material: TmTiSi2Os
Method: DFT, PBE
State: relaxed

Energy relative to the elements, uncorrected ... -780 meV per atom

```
TmTiSi2Os
1.0
-1.9872 1.9872 5.3627
1.9872 -1.9872 5.3627
1.9872 1.9872 -5.3627
Tm Ti Si Os
1 1 2 1
Direct
0.0000 0.0000 0.0000
0.2500 0.7500 0.5000
0.3895 0.3895 0.0000
0.6105 0.6105 0.0000
0.7500 0.2500 0.5000
```


Record 13
Material: TiVSiOs
Method: DFT, PBE
State: relaxed

Energy relative to the elements, uncorrected ... -390 meV per atom

```
TiVSiOs
1.0
0.0000 3.0218 3.0218
3.0218 0.0000 3.0218
3.0218 3.0218 0.0000
Ti V Si Os
1 1 1 1
Direct
0.0000 0.0000 0.0000
0.2500 0.2500 0.2500
0.7500 0.7500 0.7500
0.5000 0.5000 0.5000
```


Record 14
Material: YTiSi2Os
Method: DFT, PBE
State: relaxed

Energy relative to the elements, uncorrected ... -794 meV per atom

```
YTiSi2Os
1.0
-1.9980 1.9980 5.3957
1.9980 -1.9980 5.3957
1.9980 1.9980 -5.3957
Y Ti Si Os
1 1 2 1
Direct
0.0000 0.0000 0.0000
0.7500 0.2500 0.5000
0.3884 0.3884 0.0000
0.6116 0.6116 0.0000
0.2500 0.7500 0.5000
```


Record 15
Material: TlSiOs2
Method: DFT, PBE
State: relaxed

Energy relative to the elements, uncorrected ... 798 meV per atom
Polymorph energy (0 for the lowest one) ... 0.404 eV per atom

```
TlSiOs2
1.0
1.4306 -2.4543 0.0000
1.4306 2.4543 0.0000
0.0000 0.0000 10.3420
Tl Si Os
1 1 2
Direct
0.0000 0.0000 0.0000
0.5000 0.5000 0.3210
0.0000 0.0000 0.5187
0.5000 0.5000 0.7306
```


Record 16
Material: Tl2SiOs
Method: DFT, PBE
State: relaxed

Energy relative to the elements, uncorrected ... 792 meV per atom
Polymorph energy (0 for the lowest one) ... 0.576 eV per atom

```
Tl2SiOs
1.0
3.6484 0.0000 0.0000
0.0000 5.0242 0.0000
-0.3340 0.0000 4.7957
Tl Si Os
2 1 1
Direct
0.2264 0.0000 0.2555
0.7736 0.0000 0.7445
0.5000 0.5000 0.0000
0.5000 0.5000 0.5000
```


Record 17
Material: Tl2SiOs
Method: DFT, PBE
State: relaxed

Energy relative to the elements, uncorrected ... 1053 meV per atom
Polymorph energy (0 for the lowest one) ... 0.837 eV per atom

```
Tl2SiOs
1.0
3.3082 0.0000 0.0000
0.0000 4.7709 0.0000
0.0000 0.0000 5.0576
Tl Si Os
2 1 1
Direct
0.0000 0.0000 0.0000
0.5000 0.0000 0.5000
0.0000 0.5000 0.5000
0.5000 0.5000 0.0000
```


Record 18
Material: Tl2SiOs
Method: DFT, PBE
State: relaxed

Energy relative to the elements, uncorrected ... 1021 meV per atom
Polymorph energy (0 for the lowest one) ... 0.805 eV per atom

```
Tl2SiOs
1.0
-2.1962 2.1962 4.0903
2.1962 -2.1962 4.0903
2.1962 2.1962 -4.0903
Tl Si Os
2 1 1
Direct
0.0000 0.0000 0.0000
0.7500 0.2500 0.5000
0.5000 0.5000 0.0000
0.2500 0.7500 0.5000
```


Record 19
Material: Tl4SiOs
Method: DFT, PBE
State: relaxed

Energy relative to the elements, uncorrected ... 1341 meV per atom

```
Tl4SiOs
1.0
0.0000 4.2803 4.2803
4.2803 0.0000 4.2803
4.2803 4.2803 0.0000
Tl Si Os
4 1 1
Direct
0.1247 0.1247 0.1247
0.1247 0.1247 0.6259
0.1247 0.6259 0.1247
0.6259 0.1247 0.1247
0.5000 0.5000 0.5000
0.7500 0.7500 0.7500
```


Record 20
Material: TlSiOs2
Method: DFT, PBE
State: relaxed

Energy relative to the elements, uncorrected ... 933 meV per atom
Polymorph energy (0 for the lowest one) ... 0.539 eV per atom

```
TlSiOs2
1.0
3.0006 0.0000 0.0000
0.0000 4.3233 0.0000
0.0000 0.0000 5.1100
Tl Si Os
1 1 2
Direct
0.0000 0.0000 0.0000
0.5000 0.0000 0.5000
0.0000 0.5000 0.5000
0.5000 0.5000 0.0000
```


no.,total moment (μB per atom)
1,0.02
2,0.00
3,0.00
4,0.31
5,0.00
6,0.00
7,0.33
8,0.00
9,0.40
10,0.07
11,0.00
12,0.00
13,0.32
14,0.00
15,0.10
16,0.00
17,0.00
18,0.00
19,0.30
20,0.00